Entry from the Alexandria database: an optimized crystal structure of MnFeBi2O6 (GGA+U).

- Crystal system: trigonal

POSCAR file:
```
MnFeBi2O6
1.0
5.645 0.000 0.000
2.823 4.889 0.000
2.823 1.630 4.592
Mn Fe Bi O
1 1 2 6
Cartesian
8.468 4.889 2.508 Mn
2.823 1.630 0.330 Fe
5.645 3.259 1.841 Bi
2.823 1.630 4.068 Bi
4.597 1.114 1.256 O
4.311 5.240 1.256 O
8.027 3.424 1.256 O
6.848 4.427 3.505 O
6.055 1.634 3.505 O
4.033 3.717 3.505 O
```

***

Entry from the Alexandria database: an optimized crystal structure of MnFe2BiO6 (GGA+U).

- Crystal system: triclinic

POSCAR file:
```
MnFe2BiO6
1.0
5.321 0.087 0.093
2.736 4.779 0.145
2.766 1.724 4.833
Mn Fe Bi O
1 2 1 6
Cartesian
8.099 4.874 2.845 Mn
5.417 3.237 2.308 Fe
2.763 1.697 4.466 Fe
2.685 1.628 0.586 Bi
4.857 1.538 1.429 O
4.192 4.519 1.403 O
7.016 3.703 1.286 O
6.290 4.872 3.726 O
6.362 2.001 3.637 O
3.747 3.263 3.663 O
```

***

Entry from the Alexandria database: an optimized crystal structure of SrMnFeBiO6 (GGA+U).

- Crystal system: trigonal

POSCAR file:
```
SrMnFeBiO6
1.0
-1.903 5.131 0.852
-2.780 2.592 -4.029
-5.447 0.844 0.540
Sr Mn Fe Bi O
1 1 1 1 6
Cartesian
-2.571 2.174 -0.669 Sr
-0.017 0.014 -0.004 Mn
-5.067 4.284 -1.319 Fe
-7.850 6.638 -2.043 Bi
-4.694 6.121 -2.036 O
-6.487 3.811 -2.654 O
-6.319 4.868 0.136 O
-3.611 4.597 0.083 O
-3.664 3.684 -2.680 O
-5.307 2.358 -0.677 O
```

***

no.,total DFT energy (no corrections) (eV/atom)
1,-6.376
2,-6.606
3,-6.562